DFT (PBE) results for an optimized crystal structure of Ce2PuHfP4.

Summary:
Total moment: 6.01 μB/f.u.
ΔE_f: -1377 meV/atom

Cell: 6.845 3.955 6.856 Å, 90.00 109.29 90.00°
Space group P2/m (No. 10)
One atom of each set of equivalent atoms:
Ce (0.000, 0.000, 0.000) [1 per cell]
Ce (0.500, 0.500, 0.000) [1 per cell]
Pu (0.000, 0.500, 0.500) [1 per cell]
Hf (0.500, 0.000, 0.500) [1 per cell]
P (0.255, 0.000, 0.735) [2 per cell]
P (0.265, 0.500, 0.269) [2 per cell]


DFT (PBE) results for an optimized crystal structure of Ce2HfP3Rh12.

Summary:
Total moment: 0.00 μB/f.u.
ΔE_f: -464 meV/atom

Cell: 8.6651 8.6651 13.6116 Å, 90.00 90.00 120.00°
Space group R-3m (No. 166, hexagonal axes)
One atom of each set of equivalent atoms:
Ce (0.0000, 0.0000, 0.1129) [6 per cell]
Hf (0.0000, 0.0000, 0.5000) [3 per cell]
P (0.0000, 0.5000, 0.0000) [9 per cell]
Rh (0.0226, 0.5113, 0.8310) [18 per cell]
Rh (0.0467, 0.5233, 0.3681) [18 per cell]


DFT (PBE) results for an optimized crystal structure of CeHfP2Ru5.

Summary:
Total moment: 0.00 μB/f.u.
ΔE_f: -545 meV/atom

Cell: 4.122 4.122 8.385 Å, 90.00 90.00 90.00°
Space group P4/mmm (No. 123)
One atom of each set of equivalent atoms:
Ce (0.000, 0.000, 0.000) [1 per cell]
Hf (0.000, 0.000, 0.500) [1 per cell]
P (0.500, 0.500, 0.367) [2 per cell]
Ru (0.000, 0.500, 0.249) [4 per cell]
Ru (0.500, 0.500, 0.000) [1 per cell]


DFT (PBE) results for an optimized crystal structure of Ce4Hf3ScP8.

Summary:
Total moment: 0.03 μB/f.u.
ΔE_f: -1446 meV/atom

Cell: 7.7623 7.7623 19.0812 Å, 90.00 90.00 120.00°
Space group R-3m (No. 166, hexagonal axes)
One atom of each set of equivalent atoms:
Ce (0.0000, 0.0000, 0.0000) [3 per cell]
Ce (0.0000, 0.5000, 0.0000) [9 per cell]
Hf (0.0000, 0.5000, 0.5000) [9 per cell]
Sc (0.0000, 0.0000, 0.5000) [3 per cell]
P (0.0000, 0.0000, 0.2422) [6 per cell]
P (0.0017, 0.5009, 0.7577) [18 per cell]


DFT (PBE) results for an optimized crystal structure of Ce2SmHfP4.

Summary:
Total moment: 0.65 μB/f.u.
ΔE_f: -1456 meV/atom

Cell: 6.896 3.979 6.910 Å, 90.00 109.32 90.00°
Space group P2/m (No. 10)
One atom of each set of equivalent atoms:
Ce (0.000, 0.000, 0.000) [1 per cell]
Ce (0.000, 0.500, 0.500) [1 per cell]
Sm (0.500, 0.000, 0.500) [1 per cell]
Hf (0.500, 0.500, 0.000) [1 per cell]
P (0.258, 0.500, 0.238) [2 per cell]
P (0.267, 0.000, 0.768) [2 per cell]


DFT (PBE) results for an optimized crystal structure of TbCe3Hf2P6.

Summary:
Total moment: 0.15 μB/f.u.
ΔE_f: -1461 meV/atom

Cell: 6.804 11.789 6.820 Å, 90.00 109.48 90.00°
Space group C2/m (No. 12)
One atom of each set of equivalent atoms:
Tb (0.000, 0.000, 0.000) [2 per cell]
Ce (0.000, 0.163, 0.500) [4 per cell]
Ce (0.000, 0.500, 0.500) [2 per cell]
Hf (0.000, 0.332, 0.000) [4 per cell]
P (0.232, 0.500, 0.230) [4 per cell]
P (0.249, 0.328, 0.766) [8 per cell]